[1]
Compound: K3Cl
Source: Alexandria via LeMat-Bulk
Functional: meta-GGA SCAN
Structure: single point on PBEsol structure

Unit cell a=4.3991 b=4.3991 c=11.7285 alpha=90.00 beta=90.00 gamma=120.00
Fractional coordinates of all 4 atoms:
K  0.3333  0.6667  0.1627
K  0.0000  0.0000  0.5000
K  0.3333  0.6667  0.8373
Cl  0.0000  0.0000  0.0000

## Properties
DFT total energy: -37.04 eV for the cell shown
Distance to the lowest polymorph of the same formula: 0.014 eV/atom
Energy relative to the elements, uncorrected: -1020 meV per atom
N(E_F): 0.376 states/eV/atom
M_tot: 0.020 μB/atom

[2]
Compound: KCl2
Source: Alexandria via LeMat-Bulk
Functional: meta-GGA SCAN
Structure: single point on PBEsol structure

Unit cell a=4.8615 b=5.5682 c=7.5202 alpha=90.00 beta=90.00 gamma=90.00
Each line ends with the local moment (μB).
Fractional coordinates of all 6 atoms:
Cl  0.5000  0.6790  0.8926  0.39
Cl  0.0000  0.8210  0.3926  0.39
Cl  0.5000  0.3210  0.1074  0.39
Cl  0.0000  0.1790  0.6074  0.39
K  0.5000  0.5000  0.5000  0.00
K  0.0000  0.0000  0.0000  0.00

## Properties
DFT total energy: -56.10 eV for the cell shown
Energy relative to the elements, uncorrected: -1254 meV per atom
M_tot: 0.333 μB/atom

[3]
Compound: KCl2
Source: Alexandria via LeMat-Bulk
Functional: meta-GGA SCAN
Structure: single point on PBEsol structure

Unit cell a=4.1623 b=5.7976 c=8.9231 alpha=96.64 beta=90.00 gamma=111.04
Fractional coordinates of all 6 atoms:
K  0.4132  0.8263  0.1549
Cl  0.0407  0.0815  0.3964
K  0.5868  0.1737  0.8451
Cl  0.9593  0.9185  0.6036
Cl  0.8669  0.7339  0.8734
Cl  0.1331  0.2661  0.1266

## Properties
DFT total energy: -56.92 eV for the cell shown
Energy relative to the elements, uncorrected: -1392 meV per atom
N(E_F): 0.000 states/eV/atom
M_tot: 0.001 μB/atom